Below is a geometry-optimized Tc3BiP structure, with properties calculated at the GGA-PBE level.

POSCAR file:
```
Tc3BiP
1.0
5.083 0.000 0.000
0.000 5.083 0.000
0.000 0.000 5.083
Tc Bi P
3 1 1
direct
0.000 0.000 0.500 Tc
0.000 0.500 0.000 Tc
0.500 0.000 0.000 Tc
0.000 0.000 0.000 Bi
0.500 0.500 0.500 P
```

## Properties
Formation energy from the elements   2.578 eV/atom
Calculated total energy   -5.4995 eV per atom
Energy relative to the lowest polymorph listed for this composition   2.1084 eV/atom
SG   Pm-3m, No. 221
Crystal system   cubic



Below is a geometry-optimized Tc2BiP structure, with properties calculated at the GGA-PBE level.

POSCAR file:
```
Tc2BiP
1.0
0.000 3.190 3.190
3.190 0.000 3.190
3.190 3.190 0.000
Tc Bi P
2 1 1
direct
0.250 0.250 0.250 Tc
0.750 0.750 0.750 Tc
0.000 0.000 0.000 Bi
0.500 0.500 0.500 P
```

## Properties
Formation energy from the elements   0.407 eV/atom
Calculated total energy   -7.0989 eV per atom
Energy relative to the lowest polymorph listed for this composition   0.0000 eV/atom
SG   Fm-3m, No. 225
Crystal system   cubic



Below is a geometry-optimized Bi3TeP structure, with properties calculated at the GGA-PBE level.

POSCAR file:
```
Bi3TeP
1.0
5.446 0.000 0.000
0.000 5.446 0.000
0.000 0.000 5.446
Bi Te P
3 1 1
direct
0.000 0.000 0.500 Bi
0.000 0.500 0.000 Bi
0.500 0.000 0.000 Bi
0.500 0.500 0.500 Te
0.000 0.000 0.000 P
```

## Properties
Calculated total energy   -3.5669 eV per atom
Energy relative to the lowest polymorph listed for this composition   0.0000 eV/atom
Formation energy (no corrections)   45.5 kJ per mole of atoms
SG   Pm-3m, No. 221
Crystal system   cubic



Below is a geometry-optimized Bi2TeP structure, with properties calculated at the GGA-PBE level.

POSCAR file:
```
Bi2TeP
1.0
2.227 1.286 6.810
-2.227 1.286 6.810
0.000 -2.572 6.810
Bi Te P
2 1 1
direct
0.237 0.237 0.237 Bi
0.763 0.763 0.763 Bi
0.000 0.000 0.000 Te
0.500 0.500 0.500 P
```

## Properties
Calculated total energy   -4.0447 eV per atom
Energy relative to the lowest polymorph listed for this composition   0.0000 eV/atom
Formation energy (no corrections)   3.2 kJ per mole of atoms
SG   R-3m, No. 166
Crystal system   trigonal



Below is a geometry-optimized BiTe2P structure, with properties calculated at the GGA-PBE level.

POSCAR file:
```
BiTe2P
1.0
1.912 1.104 9.595
-1.912 1.104 9.595
0.000 -2.208 9.595
Bi Te P
1 2 1
direct
0.000 0.000 0.000 Bi
0.109 0.109 0.109 Te
0.891 0.891 0.891 Te
0.500 0.500 0.500 P
```

## Properties
Calculated total energy   -3.6908 eV per atom
Energy relative to the lowest polymorph listed for this composition   0.0000 eV/atom
Formation energy (no corrections)   19.6 kJ per mole of atoms
SG   R-3m, No. 166
Crystal system   trigonal



Below is a geometry-optimized Bi2TeP structure, with properties calculated at the GGA-PBE level.

POSCAR file:
```
Bi2TeP
1.0
0.000 3.761 3.761
3.761 0.000 3.761
3.761 3.761 0.000
Bi Te P
2 1 1
direct
0.250 0.250 0.250 Bi
0.750 0.750 0.750 Bi
0.000 0.000 0.000 Te
0.500 0.500 0.500 P
```

## Properties
Calculated total energy   -3.7700 eV per atom
Energy relative to the lowest polymorph listed for this composition   0.2747 eV/atom
Formation energy (no corrections)   29.8 kJ per mole of atoms
SG   Fm-3m, No. 225
Crystal system   cubic



Below is a geometry-optimized Bi2TeP structure, with properties calculated at the GGA-PBE level.

POSCAR file:
```
Bi2TeP
1.0
2.054 1.186 8.028
-2.054 1.186 8.028
0.000 -2.371 8.028
Bi Te P
2 1 1
direct
0.000 0.000 0.000 Bi
0.190 0.190 0.190 Bi
0.771 0.771 0.771 Te
0.599 0.599 0.599 P
```

## Properties
Calculated total energy   -4.0150 eV per atom
Energy relative to the lowest polymorph listed for this composition   0.0297 eV/atom
Formation energy (no corrections)   6.1 kJ per mole of atoms
SG   R3m, No. 160
Crystal system   trigonal



Below is a geometry-optimized Bi2TeP2 structure, with properties calculated at the GGA-PBE level.

POSCAR file:
```
Bi2TeP2
1.0
-2.143 2.143 7.397
2.143 -2.143 7.397
2.143 2.143 -7.397
Bi Te P
2 1 2
direct
0.123 0.123 0.000 Bi
0.877 0.877 0.000 Bi
0.500 0.500 0.000 Te
0.250 0.750 0.500 P
0.750 0.250 0.500 P
```

## Properties
Calculated total energy   -4.0848 eV per atom
Energy relative to the lowest polymorph listed for this composition   0.0000 eV/atom
Formation energy (no corrections)   25.1 kJ per mole of atoms
SG   I4/mmm, No. 139
Crystal system   tetragonal